Record 1
Density functional theory data (PBE-GGA) for an optimized crystal structure of Sm4C2Se.

Cell and atoms, written as POSCAR:
```
Sm4C2Se
1.0
-1.173 0.159 -3.605
-3.325 -1.540 -0.983
-7.622 11.159 0.975
Sm C Se
4 2 1
direct
0.118 0.118 0.647
0.716 0.716 0.853
0.882 0.882 0.353
0.284 0.284 0.147
0.420 0.420 0.740
0.580 0.580 0.260
0.000 0.000 0.000
```

Properties
**Formation energy from raw total energies**: -0.666 eV/atom
**Size of the total moment**: 0.0 μB per formula unit

=====

Record 2
Density functional theory data (PBE-GGA) for an optimized crystal structure of SrCaCl4.

Cell and atoms, written as POSCAR:
```
SrCaCl4
1.0
-0.422 -4.044 5.707
-0.030 -5.730 -4.063
7.006 -0.125 0.124
Cl Sr Ca
8 2 2
direct
0.645 0.154 0.833
0.855 0.654 0.167
0.355 0.846 0.167
0.822 0.170 0.344
0.145 0.346 0.833
0.178 0.830 0.656
0.322 0.330 0.344
0.678 0.670 0.656
0.000 0.000 0.000
0.500 0.500 0.000
0.000 0.500 0.500
0.500 0.000 0.500
```

Properties
**Formation energy from raw total energies**: -2.412 eV/atom
**Size of the total moment**: 0.0 μB per formula unit

=====

Record 3
Density functional theory data (PBE-GGA) for an optimized crystal structure of CaAcTmTh.

Cell and atoms, written as POSCAR:
```
CaAcTmTh
1.0
5.886 0.000 0.000
2.943 5.097 0.000
2.943 1.699 4.806
Ac Tm Th Ca
1 1 1 1
direct
0.750 0.750 0.750
0.500 0.500 0.500
0.250 0.250 0.250
0.000 0.000 0.000
```

Properties
**Formation energy from the elements**: 0.20 eV/atom
**Size of the total moment**: 0.0 μB per formula unit

=====

Record 4
Density functional theory data (PBE-GGA) for an optimized crystal structure of HfAlHgPd.

Cell and atoms, written as POSCAR:
```
HfAlHgPd
1.0
-2.167 4.010 1.073
-1.655 0.682 4.327
2.072 3.094 2.839
Pd Hg Al Hf
1 1 1 1
direct
0.000 0.000 0.000
0.500 0.500 0.500
0.250 0.250 0.250
0.750 0.750 0.750
```

Properties
**Formation energy from the elements**: -0.34 eV/atom
**Size of the total moment**: 0.0 μB per formula unit

=====

VASP energy: -45.468 -51.079 -17.211 -20.556 (eV/cell)